Compound: K2MnTlCl6
Source: the Alexandria database
Functional: PBE-GGA
Structure: optimized geometry

Unit cell a=7.2761 b=7.7014 c=12.7172 alpha=90.00 beta=124.58 gamma=90.00
Space group P2_1/c (No. 14)
Inequivalent atoms, fractional coordinates:
1 K 0.2218 0.0722 0.2470
2 Mn 0.0000 0.0000 0.5000
3 Tl 0.5000 0.0000 0.0000
4 Cl 0.1116 0.2291 0.9428
5 Cl 0.2199 0.6685 0.9534
6 Cl 0.3151 0.0300 0.7158

Properties
The uncorrected formation energy comes out at -1.387 eV per atom. The total DFT energy (no corrections) is -3.868 eV/atom. The density of states at the Fermi level comes out at 3.71 states/eV/f.u. Its magnetic moment is 8.00 μB/cell.